# ScBe2Mo (PBE, relaxed)
data_ScBe2Mo
_chemical_formula_sum 'Sc2 Be4 Mo2'
_cell_length_a 3.6290
_cell_length_b 3.6290
_cell_length_c 8.2813
_cell_angle_alpha 90.00
_cell_angle_beta 90.00
_cell_angle_gamma 90.00
_space_group_name_H-M_alt 'I -4 m 2'
_space_group_IT_number 119
_space_group_name_Hall 'I -4 -2'
loop_
_atom_site_label
_atom_site_fract_x
_atom_site_fract_y
_atom_site_fract_z
Sc1 0.0000 0.0000 0.0000
Be1 0.0000 0.0000 0.5000
Be2 0.0000 0.5000 0.7500
Mo1 0.0000 0.5000 0.2500
# Energy = -48.01 eV/cell
# D(E_F) = 0.548 states/eV per atom
# Energy relative to the elements = 152 meV/atom